## Bi8Se9 (GGA-PBE)

Data for crystalline Bi8Se9 at its relaxed geometry.

Calculated values
uncorrected formation energy: -0.345 eV/atom

abc: 4.2375 4.2375 34.6796
angles: 86.50 86.50 60.00
Atoms (fractional coordinates):
Bi 0.4128 0.4128 0.7615
Bi 0.1754 0.1754 0.4739
Bi 0.8836 0.8836 0.3491
Bi 0.6482 0.6482 0.0556
Bi 0.8246 0.8246 0.5261
Bi 0.5872 0.5872 0.2385
Bi 0.1164 0.1164 0.6509
Bi 0.3518 0.3518 0.9444
Se 0.5351 0.5351 0.3946
Se 0.7000 0.7000 0.9000
Se 0.7649 0.7649 0.7053
Se 0.4649 0.4649 0.6054
Se 0.2351 0.2351 0.2947
Se 0.9352 0.9352 0.1944
Se 0.3000 0.3000 0.1000
Se 0.0000 0.0000 0.0000
Se 0.0648 0.0648 0.8056

---

## Na3BiCl (GGA-PBE)

Data for crystalline Na3BiCl at its relaxed geometry.

Calculated values
uncorrected formation energy: -0.391 eV/atom
energy relative to the lowest polymorph listed for this composition: 357 meV/atom

abc: 5.9960 5.9960 5.9960
angles: 90.00 90.00 90.00
Site moments in Bohr magnetons follow the coordinates.
Atoms (fractional coordinates):
Cl 0.5000 0.5000 0.5000  0.03
Na 0.0000 0.0000 0.5000  0.02
Na 0.0000 0.5000 0.0000  0.01
Na 0.5000 0.0000 0.0000  0.00
Bi 0.0000 0.0000 0.0000  0.54

---

## Al2Bi2Pd (GGA-PBE)

Data for crystalline Al2Bi2Pd at its relaxed geometry.

Calculated values
DFT formation energy: -0.1 eV/f.u.

abc: 6.7516 6.7516 4.9806
angles: 90.00 90.00 90.00
Atoms (fractional coordinates):
Pd 0.5000 0.5000 0.0000
Pd 0.0000 0.0000 0.0000
Al 0.3587 0.8587 0.0000
Al 0.1413 0.3587 0.0000
Al 0.8587 0.6413 0.0000
Al 0.6413 0.1413 0.0000
Bi 0.1763 0.6763 0.5000
Bi 0.8237 0.3237 0.5000
Bi 0.3237 0.1763 0.5000
Bi 0.6763 0.8237 0.5000

---

## LaSmYZn (GGA-PBE)

Data for crystalline LaSmYZn at its relaxed geometry.

Calculated values
DFT formation energy: -0.6 eV/f.u.

abc: 3.6429 3.6429 8.8487
angles: 90.00 90.00 90.00
Atoms (fractional coordinates):
La 0.0000 0.0000 0.0744
Zn 0.0000 0.0000 0.5651
Sm 0.5000 0.5000 0.7729
Y 0.5000 0.5000 0.3724

---

## Pm3Sm2YAs6 (GGA-PBE)

Data for crystalline Pm3Sm2YAs6 at its relaxed geometry.

Calculated values
DFT formation energy: -18.4 eV/f.u.

abc: 4.2140 8.4213 9.4162
angles: 102.92 102.93 90.00
Atoms (fractional coordinates):
As 0.3350 0.9168 0.6700
As 0.6670 0.5825 0.3341
As 0.6650 0.0832 0.3300
As 0.3330 0.4175 0.6659
As 0.0000 0.7545 0.0000
As 0.0000 0.2455 0.0000
Pm 0.1669 0.8336 0.3338
Pm 0.8331 0.1664 0.6662
Pm 0.5000 0.5000 0.0000
Y 0.5000 0.0000 0.0000
Sm 0.1661 0.3326 0.3323
Sm 0.8339 0.6674 0.6677

---

## Sm3BiO3 (GGA-PBE)

Data for crystalline Sm3BiO3 at its relaxed geometry.

Calculated values
uncorrected formation energy: -2.596 eV/atom
energy relative to the lowest polymorph listed for this composition: 0 meV/atom

abc: 6.8516 6.8516 8.6384
angles: 66.64 66.64 60.00
Atoms (fractional coordinates):
O 0.8049 0.1335 0.6171
O 0.1335 0.4444 0.6171
O 0.5556 0.1951 0.3829
O 0.8665 0.5556 0.3829
O 0.4444 0.8049 0.6171
O 0.1951 0.8665 0.3829
Sm 0.8998 0.2457 0.3087
Sm 0.4542 0.1002 0.6913
Sm 0.5458 0.8998 0.3087
Sm 0.2457 0.5458 0.3087
Sm 0.1002 0.7543 0.6913
Sm 0.7543 0.4542 0.6913
Bi 0.6666 0.6666 0.0002
Bi 0.3334 0.3334 0.9998

---

## PaNbGe2 (GGA-PBE)

Data for crystalline PaNbGe2 at its relaxed geometry.

Calculated values
DFT formation energy: 0.7 eV/f.u.
energy relative to the lowest polymorph listed for this composition: 524 meV/atom

abc: 2.9935 2.9935 10.7389
angles: 81.99 81.99 60.00
Atoms (fractional coordinates):
Ge 0.0846 0.0846 0.7462
Ge 0.9154 0.9154 0.2538
Nb 0.0000 0.0000 0.0000
Pa 0.5000 0.5000 0.5000

---

## LiCo2SiH (GGA-PBE)

Data for crystalline LiCo2SiH at its relaxed geometry.

Calculated values
calculated total energy: -26.36 eV per cell

abc: 3.6625 3.6625 3.2352
angles: 90.00 90.00 90.00
Atoms (fractional coordinates):
Li 0.0000 0.0000 0.5000
Co 0.5000 0.0000 0.0000
Co 0.0000 0.5000 0.0000
Si 0.5000 0.5000 0.5000
H 0.0000 0.0000 0.0000

---

## PPt2C (GGA-PBE)

Data for crystalline PPt2C at its relaxed geometry.

Calculated values
DFT formation energy: 4.2 eV/f.u.
energy relative to the lowest polymorph listed for this composition: 779 meV/atom

abc: 4.1985 4.1985 4.1985
angles: 60.00 60.00 60.00
Atoms (fractional coordinates):
Pt 0.2500 0.2500 0.2500
Pt 0.7500 0.7500 0.7500
C 0.0000 0.0000 0.0000
P 0.5000 0.5000 0.5000

---

## SmMgAl2 (GGA-PBE)

Data for crystalline SmMgAl2 at its relaxed geometry.

Calculated values
DFT formation energy: -1.1 eV/f.u.
energy relative to the lowest polymorph listed for this composition: 29 meV/atom

abc: 4.6890 6.8701 11.1687
angles: 90.00 90.00 90.00
Atoms (fractional coordinates):
Al 0.2500 0.4436 0.1425
Al 0.2500 0.9436 0.3575
Al 0.7500 0.9409 0.8652
Al 0.2500 0.5591 0.3652
Al 0.7500 0.0564 0.6425
Al 0.7500 0.4409 0.6348
Al 0.2500 0.0591 0.1348
Al 0.7500 0.5564 0.8575
Sm 0.2500 0.2474 0.8386
Sm 0.7500 0.2526 0.3386
Sm 0.2500 0.7474 0.6614
Sm 0.7500 0.7526 0.1614
Mg 0.2500 0.7428 0.9528
Mg 0.7500 0.7572 0.4528
Mg 0.2500 0.2428 0.5472
Mg 0.7500 0.2572 0.0472

---

## In2P (GGA-PBE)

Data for crystalline In2P at its relaxed geometry.

Calculated values
DFT formation energy: 0.4 eV/f.u.
energy relative to the lowest polymorph listed for this composition: 152 meV/atom

abc: 4.7360 6.6619 9.1591
angles: 90.00 90.00 90.00
Atoms (fractional coordinates):
In 0.2500 0.4925 0.6730
In 0.7500 0.8486 0.6002
In 0.2500 0.1514 0.3998
In 0.2500 0.6514 0.1002
In 0.2500 0.9925 0.8270
In 0.7500 0.3486 0.8998
In 0.7500 0.0075 0.1730
In 0.7500 0.5075 0.3270
P 0.2500 0.2376 0.0807
P 0.2500 0.7376 0.4193
P 0.7500 0.7624 0.9193
P 0.7500 0.2624 0.5807

---

## Al2Cu5Au12 (GGA-PBE)

Data for crystalline Al2Cu5Au12 at its relaxed geometry.

Calculated values
DFT formation energy: -2.1 eV/f.u.
energy relative to the lowest polymorph listed for this composition: 0 meV/atom

abc: 4.1361 10.4955 10.4955
angles: 45.06 78.57 78.57
Atoms (fractional coordinates):
Au 0.5935 0.6495 0.1649
Au 0.2007 0.5346 0.0637
Au 0.0994 0.9023 0.9023
Au 0.4065 0.3505 0.8351
Au 0.7993 0.4654 0.9363
Au 0.7993 0.9363 0.4654
Au 0.2007 0.0637 0.5346
Au 0.5935 0.1649 0.6495
Au 0.9166 0.5827 0.5827
Au 0.0834 0.4173 0.4173
Au 0.9006 0.0977 0.0977
Au 0.4065 0.8351 0.3505
Cu 0.6993 0.8023 0.8023
Cu 0.5000 0.0000 0.0000
Cu 0.7031 0.2960 0.2960
Cu 0.2969 0.7040 0.7040
Cu 0.3007 0.1977 0.1977
Al 0.0000 0.2385 0.7615
Al 0.0000 0.7615 0.2385

---

## MnZnBr3 (GGA-PBE)

Data for crystalline MnZnBr3 at its relaxed geometry.

Calculated values
uncorrected formation energy: -0.279 eV/atom
energy relative to the lowest polymorph listed for this composition: 0 meV/atom

abc: 5.2024 5.2024 5.2024
angles: 90.00 90.00 90.00
Site moments in Bohr magnetons follow the coordinates.
Atoms (fractional coordinates):
Br 0.5000 0.0000 0.0000  0.03
Br 0.0000 0.0000 0.5000  0.00
Br 0.0000 0.5000 0.0000  0.00
Mn 0.0000 0.0000 0.0000  4.17
Zn 0.5000 0.5000 0.5000  -0.27

---

## SrLi3 (GGA-PBE)

Data for crystalline SrLi3 at its relaxed geometry.

Calculated values
DFT formation energy: 0.6 eV/f.u.

abc: 3.8232 3.8232 9.8867
angles: 90.00 90.00 120.00
Atoms (fractional coordinates):
Li 0.0000 0.0000 0.0408
Li 0.0000 0.0000 0.4592
Li 0.6667 0.3333 0.2500
Sr 0.6667 0.3333 0.7500

---

## Hf3ZrIr2 (GGA-PBE)

Data for crystalline Hf3ZrIr2 at its relaxed geometry.

Calculated values
DFT formation energy: -3.3 eV/f.u.
energy relative to the lowest polymorph listed for this composition: 188 meV/atom

abc: 4.6792 8.5860 7.5123
angles: 122.77 90.00 105.81
Atoms (fractional coordinates):
Hf 0.0623 0.1247 0.3999
Hf 0.3009 0.6018 0.5939
Hf 0.3827 0.7655 0.2738
Hf 0.6173 0.2345 0.7262
Hf 0.6991 0.3982 0.4061
Hf 0.9377 0.8753 0.6001
Ir 0.5134 0.0268 0.1878
Ir 0.2239 0.4478 0.8255
Ir 0.4866 0.9732 0.8122
Ir 0.7761 0.5522 0.1745
Zr 0.1284 0.2567 0.0673
Zr 0.8716 0.7433 0.9327

---

## InOs2Pt (GGA-PBE)

Data for crystalline InOs2Pt at its relaxed geometry.

Calculated values
DFT formation energy: 2.8 eV/f.u.
energy relative to the lowest polymorph listed for this composition: 604 meV/atom

abc: 2.8183 2.8183 9.4971
angles: 90.00 90.00 119.98
Atoms (fractional coordinates):
In 0.5000 0.5000 0.7500
Os 0.0000 0.0000 0.0044
Os 0.0000 0.0000 0.4956
Pt 0.5000 0.5000 0.2500

---

## Pr2AlSi4Rh3 (GGA-PBE)

Data for crystalline Pr2AlSi4Rh3 at its relaxed geometry.

Calculated values
uncorrected formation energy: -0.912 eV/atom

abc: 4.1759 4.1759 10.2145
angles: 90.00 90.00 90.00
Atoms (fractional coordinates):
Pr 0.0000 0.5000 0.7585
Pr 0.5000 0.0000 0.2415
Si 0.5000 0.0000 0.6442
Si 0.0000 0.0000 0.0000
Si 0.5000 0.5000 0.0000
Si 0.0000 0.5000 0.3558
Rh 0.5000 0.0000 0.8809
Rh 0.0000 0.5000 0.1191
Rh 0.0000 0.0000 0.5000
Al 0.5000 0.5000 0.5000

---

## YMo2P (GGA-PBE)

Data for crystalline YMo2P at its relaxed geometry.

Calculated values
DFT formation energy: -1.0 eV/f.u.

abc: 4.1465 3.3386 5.6546
angles: 73.48 90.00 90.00
Atoms (fractional coordinates):
P 0.0000 0.3242 0.4827
Mo 0.5000 0.4529 0.2034
Mo 0.0000 0.9904 0.1367
Y 0.5000 0.7325 0.6772

---

## BeCoAg2 (GGA-PBE)

Data for crystalline BeCoAg2 at its relaxed geometry.

Calculated values
DFT formation energy: 0.6 eV/f.u.

abc: 2.7895 2.7831 7.4555
angles: 68.01 90.00 90.00
Site moments in Bohr magnetons follow the coordinates.
Atoms (fractional coordinates):
Ag 0.0000 0.0303 0.9696  0.01
Ag 0.5000 0.2077 0.2932  -0.01
Be 0.0000 0.4560 0.5439  -0.03
Co 0.5000 0.8059 0.6933  0.68

---

## Ce2Dy12Y5 (GGA-PBE)

Data for crystalline Ce2Dy12Y5 at its relaxed geometry.

Calculated values
DFT formation energy: 3.1 eV/f.u.

abc: 6.9102 16.8024 8.6297
angles: 139.51 90.00 101.87
Site moments in Bohr magnetons follow the coordinates.
Atoms (fractional coordinates):
Dy 0.8605 0.7211 0.6746  0.01
Dy 0.1395 0.2789 0.3254  0.01
Dy 0.3632 0.2095 0.5849  0.03
Dy 0.1537 0.7905 0.4151  0.03
Dy 0.6368 0.7905 0.4151  0.03
Dy 0.8463 0.2095 0.5849  0.03
Dy 0.0532 0.5980 0.8086  0.00
Dy 0.4551 0.4020 0.1914  0.00
Dy 0.5449 0.5980 0.8086  0.00
Dy 0.9468 0.4020 0.1914  0.00
Dy 0.5507 0.1015 0.7917  0.05
Dy 0.4493 0.8985 0.2083  0.05
Y 0.7530 0.5059 0.0193  -0.01
Y 0.0000 0.0000 0.5000  0.01
Y 0.6546 0.3092 0.4014  0.02
Y 0.3454 0.6908 0.5986  0.02
Y 0.2470 0.4941 0.9807  -0.01
Ce 0.3024 0.0000 0.0000  0.62
Ce 0.6976 0.0000 0.0000  0.62

---

| no. | M_tot (μB per cell) |
| --- | --- |
| 1 | 0.000 |
| 2 | 1.000 |
| 3 | 0.000 |
| 4 | 0.000 |
| 5 | 0.000 |
| 6 | 0.000 |
| 7 | 0.001 |
| 8 | 0.000 |
| 9 | 0.000 |
| 10 | 0.000 |
| 11 | 0.000 |
| 12 | 0.000 |
| 13 | 4.000 |
| 14 | 0.000 |
| 15 | 0.000 |
| 16 | 0.000 |
| 17 | 0.000 |
| 18 | 0.000 |
| 19 | 0.631 |
| 20 | 1.861 |